P:
This record from Alexandria describes ZrBi3O after structural relaxation. The functional is PBE.

Output
space group: Pm-3m
magnetization: 0.00 μB/f.u.
ρ: 6.99 g/cm3

```
ZrBi3O
1.0
5.5878 0.0000 0.0000
0.0000 5.5878 0.0000
0.0000 0.0000 5.5878
O Bi Zr
1 3 1
Direct
0.5000 0.5000 0.5000
0.0000 0.5000 0.0000
0.0000 0.0000 0.5000
0.5000 0.0000 0.0000
0.0000 0.0000 0.0000
```


Q:
This record from Alexandria describes ZrBi3O after structural relaxation. The functional is PBE.

Output
space group: Pm-3m
magnetization: 0.00 μB/f.u.
ρ: 10.23 g/cm3

```
ZrBi3O
1.0
-1.4349 -2.4746 -4.0032
4.4467 -2.0837 -0.3059
-1.5415 -3.7072 2.8441
O Bi Zr
1 3 1
Direct
0.0000 0.0000 0.0000
0.0000 0.5000 0.0000
0.0000 0.0000 0.5000
0.5000 0.0000 0.0000
0.5000 0.5000 0.5000
```


Energies relative to the minimum, eV/atom: P 0.911; Q 0.000


P:
This record from Alexandria describes BiP2OsS after structural relaxation. The functional is PBE.

Output
space group: P4/mmm
magnetization: 0.00 μB/f.u.
ρ: 7.74 g/cm3

```
BiP2OsS
1.0
-0.6108 3.4833 2.7726
-4.4445 -0.6408 -0.1740
0.3038 -3.2260 4.1198
P S Os Bi
2 1 1 1
Direct
0.0000 0.5000 0.0000
0.5000 0.0000 0.0000
0.0000 0.0000 0.5000
0.0000 0.0000 0.0000
0.5000 0.5000 0.5000
```


Q:
This record from Alexandria describes BiP2OsS after structural relaxation. The functional is PBE.

Output
space group: P4/mmm
magnetization: 2.78 μB/f.u.
ρ: 6.05 g/cm3

```
BiP2OsS
1.0
-0.7008 -4.3245 -2.8068
3.4974 1.6824 -3.4654
3.6424 -2.2632 2.5774
P S Os Bi
2 1 1 1
Direct
0.0000 0.5000 0.0000
0.5000 0.0000 0.0000
0.0000 0.0000 0.5000
0.5000 0.5000 0.5000
0.0000 0.0000 0.0000
```


Energies relative to the minimum, eV/atom: P 0.000; Q 1.734